# 1
VASP calculation (PBE-GGA) on a relaxed structure of Na2AlInF6.

```
data_Na2AlInF6
_space_group_name_H-M_alt 'P 1'
_space_group_IT_number 1
_cell_length_a 6.1544
_cell_length_b 6.1544
_cell_length_c 6.1544
_cell_angle_alpha 60.00
_cell_angle_beta 60.00
_cell_angle_gamma 60.00
loop_
_space_group_symop_operation_xyz
'x,y,z'
loop_
_atom_site_label
_atom_site_fract_x
_atom_site_fract_y
_atom_site_fract_z
F1 0.2101 0.2101 0.7899
F2 0.7899 0.7899 0.2101
Al1 0.0000 0.0000 0.0000
F3 0.7899 0.2101 0.2101
F4 0.2101 0.7899 0.2101
Na1 0.7500 0.7500 0.7500
F5 0.7899 0.2101 0.7899
Na2 0.2500 0.2500 0.2500
In1 0.5000 0.5000 0.5000
F6 0.2101 0.7899 0.7899
```

E: -4.76 eV/atom
distance to the lowest polymorph of the same formula: 0.1476 eV per atom
DOS(E_F): 0.00 states/eV/cell
space group: Fm-3m
formation energy (no corrections): -2.72 eV/atom

---

# 2
VASP calculation (PBE-GGA) on a relaxed structure of Er2PuZn.

```
data_Er2PuZn
_space_group_name_H-M_alt 'P 1'
_space_group_IT_number 1
_cell_length_a 3.4580
_cell_length_b 3.4580
_cell_length_c 8.5763
_cell_angle_alpha 90.00
_cell_angle_beta 90.00
_cell_angle_gamma 90.00
loop_
_space_group_symop_operation_xyz
'x,y,z'
loop_
_atom_site_label
_atom_site_fract_x
_atom_site_fract_y
_atom_site_fract_z
Pu1 0.5000 0.5000 0.5000
Er1 0.0000 0.0000 0.2120
Zn1 0.5000 0.5000 0.0000
Er2 0.0000 0.0000 0.7880
```

energy of formation: -0.083 eV/atom
E: -6.27 eV/atom
distance to the lowest polymorph of the same formula: 0.0000 eV per atom
DOS(E_F): 9.40 states/eV/cell
space group: P4/mmm

---

# 3
VASP calculation (PBE-GGA) on a relaxed structure of ZrPb.

```
data_ZrPb
_space_group_name_H-M_alt 'P 1'
_space_group_IT_number 1
_cell_length_a 5.2713
_cell_length_b 5.2713
_cell_length_c 5.2713
_cell_angle_alpha 60.00
_cell_angle_beta 60.00
_cell_angle_gamma 60.00
loop_
_space_group_symop_operation_xyz
'x,y,z'
loop_
_atom_site_label
_atom_site_fract_x
_atom_site_fract_y
_atom_site_fract_z
Zr1 0.7500 0.7500 0.7500
Pb1 0.0000 0.0000 0.0000
Zr2 0.5000 0.5000 0.5000
Pb2 0.2500 0.2500 0.2500
```

energy of formation: 0.296 eV/atom
E: -5.83 eV/atom
DOS(E_F): 4.93 states/eV/cell
space group: Fd-3m